#A
An optimized crystal structure of MgBe2As. Source: the Alexandria database, functional PBE.

Unit cell a=7.083 b=7.083 c=5.621 alpha=50.94 beta=50.94 gamma=90.00
Positions (direct):
Be 0.693 0.125 0.250
Be 0.057 0.625 0.250
Be 0.375 0.307 0.750
Be 0.875 0.943 0.750
As 0.000 0.000 0.000
As 0.750 0.250 0.500
Mg 0.500 0.500 0.000
Mg 0.250 0.750 0.500

Properties
The calculation puts the total magnetic moment at 0.0 μB per formula unit. The value obtained for the volume is 64.0 Å³/f.u.



#B
An optimized crystal structure of MgBe2As. Source: the Alexandria database, functional PBE.

Unit cell a=6.230 b=6.230 c=6.230 alpha=33.32 beta=33.32 gamma=33.32
Positions (direct):
Be 0.028 0.028 0.028
Be 0.472 0.472 0.472
As 0.750 0.750 0.750
Mg 0.250 0.250 0.250

Properties
The calculation puts the total magnetic moment at 0.0 μB per formula unit. The value obtained for the volume is 64.9 Å³/f.u.



If we sort the structures by their calculated energies, the order from most to least stable is #B, #A.



#A
An optimized crystal structure of MgBe2As. Source: the Alexandria database, functional PBE.

Unit cell a=3.786 b=3.786 c=3.906 alpha=90.00 beta=90.00 gamma=90.00
Positions (direct):
Be 0.000 0.000 0.000
Be 0.500 0.500 0.000
As 0.000 0.500 0.500
Mg 0.500 0.000 0.500

Properties
The calculation puts the total magnetic moment at 0.0 μB per formula unit. The value obtained for the volume is 56.0 Å³/f.u.



#B
An optimized crystal structure of MgBe2As. Source: the Alexandria database, functional PBE.

Unit cell a=4.996 b=4.996 c=5.218 alpha=108.76 beta=108.76 gamma=33.63
Positions (direct):
Be 0.051 0.051 0.902
Be 0.449 0.449 0.598
As 0.250 0.250 0.250
Mg 0.750 0.750 0.750

Properties
The calculation puts the total magnetic moment at 0.0 μB per formula unit. The value obtained for the volume is 67.9 Å³/f.u.



#C
An optimized crystal structure of MgBe2As. Source: the Alexandria database, functional PBE.

Unit cell a=3.679 b=3.820 c=4.501 alpha=90.01 beta=90.00 gamma=90.00
Positions (direct):
Be 0.000 0.000 0.018
Be 0.500 0.000 0.262
As 0.500 0.000 0.753
Mg 0.000 0.500 0.468

Properties
The calculation puts the total magnetic moment at 0.0 μB per formula unit. The value obtained for the volume is 63.3 Å³/f.u.



If we sort the structures by their calculated energies, the order from most to least stable is #C, #B, #A.



#A
An optimized crystal structure of Mg3BeAs. Source: the Alexandria database, functional PBE.

Unit cell a=4.981 b=4.981 c=4.981 alpha=90.00 beta=90.00 gamma=90.00
Positions (direct):
Be 0.500 0.500 0.500
As 0.000 0.000 0.000
Mg 0.000 0.500 0.000
Mg 0.000 0.000 0.500
Mg 0.500 0.000 0.000

Properties
The calculation puts the total magnetic moment at 0.0 μB per formula unit. The value obtained for the volume is 123.5 Å³/f.u.



#B
An optimized crystal structure of Mg3BeAs. Source: the Alexandria database, functional PBE.

Unit cell a=4.698 b=4.698 c=4.698 alpha=90.00 beta=90.00 gamma=90.00
Positions (direct):
Be 0.000 0.000 0.000
As 0.500 0.500 0.500
Mg 0.000 0.500 0.000
Mg 0.000 0.000 0.500
Mg 0.500 0.000 0.000

Properties
The calculation puts the total magnetic moment at 0.0 μB per formula unit. The value obtained for the volume is 103.7 Å³/f.u.



If we sort the structures by their calculated energies, the order from most to least stable is #B, #A.



#A
An optimized crystal structure of MgBeAs2N. Source: the Alexandria database, functional PBE.

Unit cell a=4.858 b=4.562 c=4.858 alpha=90.00 beta=90.00 gamma=90.00
Each line ends with the local moment (μB).
Positions (direct):
Be 0.000 0.500 0.000  -0.01
As 0.000 0.000 0.500  0.03
As 0.500 0.000 0.000  0.02
Mg 0.000 0.000 0.000  0.00
N 0.500 0.500 0.500  -0.09

Properties
The calculation puts the total magnetic moment at 0.1 μB per formula unit. The value obtained for the volume is 107.7 Å³/f.u.



#B
An optimized crystal structure of MgBeAs2N. Source: the Alexandria database, functional PBE.

Unit cell a=4.987 b=3.098 c=4.987 alpha=90.00 beta=90.00 gamma=90.00
Positions (direct):
Be 0.000 0.500 0.000
As 0.000 0.000 0.500
As 0.500 0.000 0.000
Mg 0.500 0.500 0.500
N 0.000 0.000 0.000

Properties
The calculation puts the total magnetic moment at 0.0 μB per formula unit. The value obtained for the volume is 77.1 Å³/f.u.



If we sort the structures by their calculated energies, the order from most to least stable is #B, #A.



#A
An optimized crystal structure of Y2MgBeAs. Source: the Alexandria database, functional PBE.

Unit cell a=5.535 b=4.162 c=5.535 alpha=90.00 beta=90.00 gamma=90.00
Positions (direct):
Y 0.000 0.000 0.500
Y 0.500 0.000 0.000
Be 0.000 0.500 0.000
As 0.000 0.000 0.000
Mg 0.500 0.500 0.500

Properties
The calculation puts the total magnetic moment at 0.0 μB per formula unit. The value obtained for the volume is 127.5 Å³/f.u.



#B
An optimized crystal structure of Y2MgBeAs. Source: the Alexandria database, functional PBE.

Unit cell a=5.129 b=4.540 c=5.129 alpha=90.00 beta=90.00 gamma=90.00
Positions (direct):
Y 0.000 0.000 0.500
Y 0.500 0.000 0.000
Be 0.000 0.000 0.000
As 0.500 0.500 0.500
Mg 0.000 0.500 0.000

Properties
The calculation puts the total magnetic moment at 0.0 μB per formula unit. The value obtained for the volume is 119.4 Å³/f.u.



If we sort the structures by their calculated energies, the order from most to least stable is #A, #B.



#A
An optimized crystal structure of MnBeAs3. Source: the Alexandria database, functional PBE.

Unit cell a=4.417 b=4.417 c=4.417 alpha=90.00 beta=90.00 gamma=90.00
Each line ends with the local moment (μB).
Positions (direct):
Be 0.000 0.000 0.000  -0.01
As 0.000 0.500 0.000  0.03
As 0.000 0.000 0.500  0.01
As 0.500 0.000 0.000  0.02
Mn 0.500 0.500 0.500  -0.29

Properties
The calculation puts the total magnetic moment at 0.2 μB per formula unit. The value obtained for the volume is 86.2 Å³/f.u.



#B
An optimized crystal structure of MnBeAs3. Source: the Alexandria database, functional PBE.

Unit cell a=4.591 b=4.591 c=4.591 alpha=90.00 beta=90.00 gamma=90.00
Each line ends with the local moment (μB).
Positions (direct):
Be 0.500 0.500 0.500  -0.02
As 0.000 0.500 0.000  -0.05
As 0.000 0.000 0.500  -0.05
As 0.500 0.000 0.000  -0.08
Mn 0.000 0.000 0.000  0.78

Properties
The calculation puts the total magnetic moment at 0.4 μB per formula unit. The value obtained for the volume is 96.7 Å³/f.u.



If we sort the structures by their calculated energies, the order from most to least stable is #B, #A.



#A
An optimized crystal structure of MnBeAs2Se. Source: the Alexandria database, functional PBE.

Unit cell a=4.289 b=4.289 c=4.772 alpha=90.00 beta=90.00 gamma=90.00
Each line ends with the local moment (μB).
Positions (direct):
Be 0.000 0.000 0.000  -0.01
As 0.000 0.500 0.000  -0.02
As 0.500 0.000 0.000  -0.02
Mn 0.500 0.500 0.500  0.08
Se 0.000 0.000 0.500  0.03

Properties
The calculation puts the total magnetic moment at 0.0 μB per formula unit. The value obtained for the volume is 87.8 Å³/f.u.



#B
An optimized crystal structure of MnBeAs2Se. Source: the Alexandria database, functional PBE.

Unit cell a=4.411 b=4.411 c=5.296 alpha=90.00 beta=90.00 gamma=90.00
Each line ends with the local moment (μB).
Positions (direct):
Be 0.500 0.500 0.500  -0.02
As 0.000 0.500 0.000  -0.09
As 0.500 0.000 0.000  -0.09
Mn 0.000 0.000 0.000  1.30
Se 0.000 0.000 0.500  -0.03

Properties
The calculation puts the total magnetic moment at 1.0 μB per formula unit. The value obtained for the volume is 103.1 Å³/f.u.



If we sort the structures by their calculated energies, the order from most to least stable is #B, #A.



#A
An optimized crystal structure of BeMo2As. Source: the Alexandria database, functional PBE.

Unit cell a=3.163 b=3.163 c=5.619 alpha=90.00 beta=90.00 gamma=90.00
Positions (direct):
Be 0.500 0.500 0.750
Mo 0.000 0.000 0.972
Mo 0.000 0.000 0.528
As 0.500 0.500 0.250

Properties
The calculation puts the total magnetic moment at 0.0 μB per formula unit. The value obtained for the volume is 56.2 Å³/f.u.



#B
An optimized crystal structure of BeMo2As. Source: the Alexandria database, functional PBE.

Unit cell a=4.518 b=4.518 c=4.470 alpha=80.47 beta=80.47 gamma=40.51
Positions (direct):
Be 0.750 0.750 0.750
Mo 0.004 0.004 0.977
Mo 0.496 0.496 0.523
As 0.250 0.250 0.250

Properties
The calculation puts the total magnetic moment at 0.0 μB per formula unit. The value obtained for the volume is 58.3 Å³/f.u.



#C
An optimized crystal structure of BeMo2As. Source: the Alexandria database, functional PBE.

Unit cell a=4.863 b=4.863 c=4.863 alpha=140.19 beta=129.53 gamma=66.13
Positions (direct):
Be 0.256 0.756 0.500
Mo 0.007 0.007 0.000
Mo 0.747 0.247 0.500
As 0.490 0.490 0.000

Properties
The calculation puts the total magnetic moment at 0.0 μB per formula unit. The value obtained for the volume is 56.0 Å³/f.u.



If we sort the structures by their calculated energies, the order from most to least stable is #C, #A, #B.



#A
An optimized crystal structure of BeMoAs3. Source: the Alexandria database, functional PBE.

Unit cell a=4.878 b=4.878 c=4.878 alpha=90.00 beta=90.00 gamma=90.00
Positions (direct):
Be 0.500 0.500 0.500
Mo 0.000 0.000 0.000
As 0.000 0.500 0.000
As 0.000 0.000 0.500
As 0.500 0.000 0.000

Properties
The calculation puts the total magnetic moment at 0.0 μB per formula unit. The value obtained for the volume is 116.1 Å³/f.u.



#B
An optimized crystal structure of BeMoAs3. Source: the Alexandria database, functional PBE.

Unit cell a=4.465 b=4.465 c=4.465 alpha=90.00 beta=90.00 gamma=90.00
Each line ends with the local moment (μB).
Positions (direct):
Be 0.000 0.000 0.000  0.03
Mo 0.500 0.500 0.500  2.65
As 0.000 0.500 0.000  -0.09
As 0.000 0.000 0.500  -0.08
As 0.500 0.000 0.000  -0.06

Properties
The calculation puts the total magnetic moment at 2.8 μB per formula unit. The value obtained for the volume is 89.0 Å³/f.u.



If we sort the structures by their calculated energies, the order from most to least stable is #B, #A.



#A
An optimized crystal structure of BeMoAs2Se. Source: the Alexandria database, functional PBE.

Unit cell a=4.943 b=4.943 c=4.813 alpha=90.00 beta=90.00 gamma=90.00
Positions (direct):
Be 0.500 0.500 0.500
Mo 0.000 0.000 0.000
As 0.000 0.500 0.000
As 0.500 0.000 0.000
Se 0.000 0.000 0.500

Properties
The calculation puts the total magnetic moment at 0.0 μB per formula unit. The value obtained for the volume is 117.6 Å³/f.u.



#B
An optimized crystal structure of BeMoAs2Se. Source: the Alexandria database, functional PBE.

Unit cell a=4.262 b=4.262 c=4.814 alpha=90.00 beta=90.00 gamma=90.00
Each line ends with the local moment (μB).
Positions (direct):
Be 0.000 0.000 0.000  0.00
Mo 0.500 0.500 0.500  -0.08
As 0.000 0.500 0.000  0.00
As 0.500 0.000 0.000  0.00
Se 0.000 0.000 0.500  0.01

Properties
The calculation puts the total magnetic moment at 0.1 μB per formula unit. The value obtained for the volume is 87.5 Å³/f.u.



If we sort the structures by their calculated energies, the order from most to least stable is #A, #B.



#A
An optimized crystal structure of BeMoAsSe2. Source: the Alexandria database, functional PBE.

Unit cell a=4.636 b=4.636 c=4.312 alpha=90.00 beta=90.00 gamma=90.00
Each line ends with the local moment (μB).
Positions (direct):
Be 0.000 0.000 0.000  0.03
Mo 0.500 0.500 0.500  2.77
As 0.000 0.000 0.500  -0.15
Se 0.000 0.500 0.000  -0.14
Se 0.500 0.000 0.000  -0.14

Properties
The calculation puts the total magnetic moment at 2.7 μB per formula unit. The value obtained for the volume is 92.7 Å³/f.u.



#B
An optimized crystal structure of BeMoAsSe2. Source: the Alexandria database, functional PBE.

Unit cell a=4.897 b=4.897 c=4.965 alpha=90.00 beta=90.00 gamma=90.00
Positions (direct):
Be 0.500 0.500 0.500
Mo 0.000 0.000 0.000
As 0.000 0.000 0.500
Se 0.000 0.500 0.000
Se 0.500 0.000 0.000

Properties
The calculation puts the total magnetic moment at 0.0 μB per formula unit. The value obtained for the volume is 119.1 Å³/f.u.



If we sort the structures by their calculated energies, the order from most to least stable is #A, #B.



#A
An optimized crystal structure of Be2As2N. Source: the Alexandria database, functional PBE.

Unit cell a=4.832 b=4.832 c=6.476 alpha=90.00 beta=90.00 gamma=90.00
Positions (direct):
Be 0.250 0.750 0.000
Be 0.750 0.750 0.000
Be 0.750 0.250 0.000
Be 0.250 0.250 0.000
As 0.250 0.750 0.500
As 0.750 0.750 0.500
As 0.750 0.250 0.500
As 0.250 0.250 0.500
N 0.000 0.000 0.000
N 0.500 0.500 0.000

Properties
The calculation puts the total magnetic moment at 0.0 μB per formula unit. The value obtained for the volume is 75.6 Å³/f.u.



#B
An optimized crystal structure of Be2As2N. Source: the Alexandria database, functional PBE.

Unit cell a=3.781 b=3.781 c=5.845 alpha=71.13 beta=71.13 gamma=90.00
Each line ends with the local moment (μB).
Positions (direct):
Be 0.394 0.394 0.212  -0.05
Be 0.606 0.606 0.788  -0.05
As 0.750 0.250 0.500  0.04
As 0.250 0.750 0.500  0.04
N 0.000 0.000 0.000  1.08

Properties
The calculation puts the total magnetic moment at 1.5 μB per formula unit. The value obtained for the volume is 74.3 Å³/f.u.



If we sort the structures by their calculated energies, the order from most to least stable is #A, #B.



#A
An optimized crystal structure of BeAsN2. Source: the Alexandria database, functional PBE.

Unit cell a=4.329 b=4.329 c=5.377 alpha=66.26 beta=66.26 gamma=90.00
Positions (direct):
Be 0.500 0.500 0.000
Be 0.250 0.750 0.500
As 0.000 0.000 0.000
As 0.750 0.250 0.500
N 0.581 0.125 0.250
N 0.169 0.625 0.250
N 0.375 0.419 0.750
N 0.875 0.831 0.750

Properties
The calculation puts the total magnetic moment at 0.0 μB per formula unit. The value obtained for the volume is 41.4 Å³/f.u.



#B
An optimized crystal structure of BeAsN2. Source: the Alexandria database, functional PBE.

Unit cell a=5.560 b=5.560 c=5.560 alpha=32.24 beta=32.24 gamma=32.24
Positions (direct):
Be 0.000 0.000 0.000
As 0.500 0.500 0.500
N 0.902 0.902 0.902
N 0.098 0.098 0.098

Properties
The calculation puts the total magnetic moment at 0.0 μB per formula unit. The value obtained for the volume is 43.5 Å³/f.u.



If we sort the structures by their calculated energies, the order from most to least stable is #A, #B.